Record 1
# YTm2Mn | Alexandria via LeMat-Bulk | GGA-PBE | relaxed
# - DFT formation energy: 0.41 eV/f.u.
# - Excess energy over the best structure of this formula in the dataset: 0 meV per atom
# - Fermi-level density of states: 6.049 states/eV/cell
data_YTm2Mn
_chemical_formula_sum 'Y1 Tm2 Mn1'
_symmetry_space_group_name_H-M 'P 4/m m m'
_symmetry_Int_Tables_number 123
_symmetry_space_group_name_Hall '-P 4 2'
_cell_length_a 3.500
_cell_length_b 3.500
_cell_length_c 8.558
_cell_angle_alpha 90.00
_cell_angle_beta 90.00
_cell_angle_gamma 90.00
loop_
_atom_site_label
_atom_site_fract_x
_atom_site_fract_y
_atom_site_fract_z
Y1 0.000 0.000 0.000
Tm1 0.500 0.500 0.303
Mn1 0.000 0.000 0.500



Record 2
# BaMgIn2 | Alexandria via LeMat-Bulk | GGA-PBE | relaxed
# - DFT formation energy: -1.22 eV/f.u.
# - Fermi-level density of states: 4.919 states/eV/cell
data_BaMgIn2
_chemical_formula_sum 'Ba2 Mg2 In4'
_symmetry_space_group_name_H-M 'C 1 2/m 1'
_symmetry_Int_Tables_number 12
_symmetry_space_group_name_Hall '-C 2y'
_cell_length_a 8.631
_cell_length_b 4.985
_cell_length_c 6.815
_cell_angle_alpha 90.00
_cell_angle_beta 115.03
_cell_angle_gamma 90.00
loop_
_atom_site_label
_atom_site_fract_x
_atom_site_fract_y
_atom_site_fract_z
Ba1 0.000 0.000 0.000
Mg1 0.000 0.500 0.500
In1 0.213 0.000 0.639



Record 3
# AlPbAu4 | Alexandria via LeMat-Bulk | GGA-PBE | relaxed
# - DFT formation energy: 0.32 eV/f.u.
# - Excess energy over the best structure of this formula in the dataset: 205 meV per atom
# - Fermi-level density of states: 16.712 states/eV/cell
data_AlPbAu4
_chemical_formula_sum 'Al4 Pb4 Au16'
_symmetry_space_group_name_H-M 'F -4 3 m'
_symmetry_Int_Tables_number 216
_symmetry_space_group_name_Hall 'F -4 2 3'
_cell_length_a 7.942
_cell_length_b 7.942
_cell_length_c 7.942
_cell_angle_alpha 90.00
_cell_angle_beta 90.00
_cell_angle_gamma 90.00
loop_
_atom_site_label
_atom_site_fract_x
_atom_site_fract_y
_atom_site_fract_z
Al1 0.000 0.000 0.000
Pb1 0.250 0.250 0.250
Au1 0.125 0.125 0.625



Record 4
# TaNbV | Alexandria via LeMat-Bulk | GGA-PBE | relaxed
# - DFT formation energy: 0.08 eV/f.u.
# - Excess energy over the best structure of this formula in the dataset: 0 meV per atom
# - Fermi-level density of states: 10.342 states/eV/cell
data_TaNbV
_chemical_formula_sum 'Ta2 Nb2 V2'
_symmetry_space_group_name_H-M 'I 4 m m'
_symmetry_Int_Tables_number 107
_symmetry_space_group_name_Hall 'I 4 -2'
_cell_length_a 3.200
_cell_length_b 3.200
_cell_length_c 9.800
_cell_angle_alpha 90.00
_cell_angle_beta 90.00
_cell_angle_gamma 90.00
loop_
_atom_site_label
_atom_site_fract_x
_atom_site_fract_y
_atom_site_fract_z
Ta1 0.000 0.000 0.000
Nb1 0.000 0.000 0.681
V1 0.000 0.000 0.340